[1]
Material: KCrMoOs2
Method: DFT, PBE
State: relaxed

Unit cell a=4.7288 b=5.3234 c=4.7288 alpha=90.00 beta=90.00 gamma=90.00
Closest atoms and distances in Å follow each position.
Fractional coordinates of all 5 atoms:
Cr1 0.5000 0.5000 0.5000  4 K 3.34, 8 Os 3.56
Mo1 0.0000 0.0000 0.0000  4 Os 2.36
Os1 0.0000 0.0000 0.5000  2 Mo 2.36
Os2 0.5000 0.0000 0.0000  2 Mo 2.36
K1 0.0000 0.5000 0.0000  2 Mo 2.66

## Properties
Fermi-level density of states in states/eV/atom: 1.1431
Spin magnetization in μB per formula unit: 3.563
Raw total energy in eV per atom: -6.639
Energy of formation in eV per atom: 2.163

---

[2]
Material: KCrMoSe2
Method: DFT, PBE
State: relaxed

Unit cell a=5.0289 b=5.0289 c=4.9858 alpha=90.00 beta=90.00 gamma=90.00
Closest atoms and distances in Å follow each position.
Fractional coordinates of all 5 atoms:
Cr1 0.0000 0.0000 0.5000  2 Mo 2.49
Mo1 0.0000 0.0000 0.0000  2 Cr 2.49, 4 Se 2.51
K1 0.5000 0.5000 0.5000  8 Se 3.54, 4 Cr 3.56
Se1 0.0000 0.5000 0.0000  2 Mo 2.51
Se2 0.5000 0.0000 0.0000  2 Mo 2.51

## Properties
Fermi-level density of states in states/eV/atom: 0.4628
Spin magnetization in μB per formula unit: 3.880
Raw total energy in eV per atom: -5.637
Formation energy without anion corrections in eV per atom: 0.0671

---

[3]
Material: KTaCr2Mo
Method: DFT, PBE
State: relaxed

Unit cell a=4.2867 b=4.7824 c=4.2867 alpha=90.00 beta=90.00 gamma=90.00
Closest atoms and distances in Å follow each position.
Fractional coordinates of all 5 atoms:
Cr1 0.0000 0.0000 0.5000  2 K 2.14
Cr2 0.5000 0.0000 0.0000  2 K 2.14
Mo1 0.5000 0.5000 0.5000  4 Ta 3.03, 8 Cr 3.21
K1 0.0000 0.0000 0.0000  4 Cr 2.14, 2 Ta 2.39
Ta1 0.0000 0.5000 0.0000  2 K 2.39

## Properties
Fermi-level density of states in states/eV/atom: 1.2211
Spin magnetization in μB per formula unit: 4.457
Raw total energy in eV per atom: -5.790
Energy of formation in eV per atom: 2.816

---

[4]
Material: KZn2CrMo
Method: DFT, PBE
State: relaxed

Unit cell a=4.8033 b=4.7087 c=4.8033 alpha=90.00 beta=90.00 gamma=90.00
Closest atoms and distances in Å follow each position.
Fractional coordinates of all 5 atoms:
K1 0.0000 0.0000 0.0000  2 Mo 2.35, 4 Zn 2.40
Cr1 0.5000 0.5000 0.5000  8 Zn 3.36, 4 Mo 3.40
Mo1 0.0000 0.5000 0.0000  2 K 2.35
Zn1 0.0000 0.0000 0.5000  2 K 2.40
Zn2 0.5000 0.0000 0.0000  2 K 2.40

## Properties
Fermi-level density of states in states/eV/atom: 1.8572
Spin magnetization in μB per formula unit: 0.163
Raw total energy in eV per atom: -2.072
Energy of formation in eV per atom: 2.748

---

[5]
Material: KZnCr2Mo
Method: DFT, PBE
State: relaxed

Unit cell a=4.7369 b=5.3138 c=4.7369 alpha=90.00 beta=90.00 gamma=90.00
Closest atoms and distances in Å follow each position.
Fractional coordinates of all 5 atoms:
K1 0.5000 0.5000 0.5000  4 Zn 3.35, 8 Cr 3.56
Cr1 0.0000 0.0000 0.5000  2 Mo 2.37
Cr2 0.5000 0.0000 0.0000  2 Mo 2.37
Mo1 0.0000 0.0000 0.0000  4 Cr 2.37
Zn1 0.0000 0.5000 0.0000  2 Mo 2.66

## Properties
Fermi-level density of states in states/eV/atom: 0.6599
Spin magnetization in μB per formula unit: 5.023
Raw total energy in eV per atom: -5.457
Energy of formation in eV per atom: 1.033

---

[6]
Material: K3CrN
Method: DFT, PBE
State: relaxed

Unit cell a=5.6133 b=5.6133 c=5.6133 alpha=90.00 beta=90.00 gamma=90.00
Closest atoms and distances in Å follow each position.
Fractional coordinates of all 5 atoms:
Cr1 0.5000 0.5000 0.5000  12 K 3.97
K1 0.0000 0.5000 0.0000  2 N 2.81
K2 0.0000 0.0000 0.5000  2 N 2.81
K3 0.5000 0.0000 0.0000  2 N 2.81
N1 0.0000 0.0000 0.0000  6 K 2.81

## Properties
Fermi-level density of states in states/eV/atom: 0.6830
Spin magnetization in μB per formula unit: 4.000
E above lowest polymorph in meV/atom: 0
Raw total energy in eV per atom: -3.344
Formation energy without anion corrections in eV per atom: 0.9045

---

[7]
Material: KCr2N3
Method: DFT, PBE
State: relaxed

Unit cell a=3.2338 b=6.5119 c=9.8747 alpha=115.18 beta=99.42 gamma=90.00
Closest atoms and distances in Å follow each position.
Fractional coordinates of all 12 atoms:
K1 0.3667 0.2097 0.7334  4 N 2.71-2.89
K2 0.6333 0.7903 0.2666  4 N 2.71-2.89
Cr1 0.2993 0.6228 0.5986  4 N 1.82-1.89
Cr2 0.7007 0.3772 0.4014  4 N 1.82-1.89
Cr3 0.9399 0.8228 0.8799  4 N 1.77-1.86
Cr4 0.0601 0.1772 0.1201  4 N 1.77-1.86
N1 0.2353 0.3078 0.4705  3 Cr 1.88-1.89
N2 0.0391 0.8838 0.0782  2 Cr 1.77-1.80
N3 0.3992 0.6798 0.7984  3 Cr 1.82-1.86
N4 0.7647 0.6922 0.5295  3 Cr 1.88-1.89
N5 0.6008 0.3202 0.2016  3 Cr 1.82-1.86
N6 0.9609 0.1162 0.9218  2 Cr 1.77-1.80

## Properties
Fermi-level density of states in states/eV/atom: 0.4758
Spin magnetization in μB per formula unit: 1.289
Raw total energy in eV per atom: -7.928
Formation energy without anion corrections in eV per atom: -0.3747

---

[8]
Material: KCrN2
Method: DFT, PBE
State: relaxed

Unit cell a=4.1046 b=4.1046 c=4.1046 alpha=60.00 beta=60.00 gamma=60.00
Closest atoms and distances in Å follow each position.
Fractional coordinates of all 4 atoms:
Cr1 0.5000 0.5000 0.5000  8 N 2.51
K1 0.0000 0.0000 0.0000  8 N 2.51
N1 0.2500 0.2500 0.2500  4 Cr 2.51, 4 K 2.51
N2 0.7500 0.7500 0.7500  4 Cr 2.51, 4 K 2.51

## Properties
Fermi-level density of states in states/eV/atom: 0.4691
Spin magnetization in μB per formula unit: 1.012
E above lowest polymorph in meV/atom: 1895
Raw total energy in eV per atom: -5.431
Formation energy without anion corrections in eV per atom: 1.4123

---

[9]
Material: KCrN2
Method: DFT, PBE
State: relaxed

Unit cell a=5.6390 b=5.6390 c=5.6939 alpha=60.32 beta=60.32 gamma=90.00
Closest atoms and distances in Å follow each position.
Fractional coordinates of all 8 atoms:
Cr1 0.0000 0.0000 0.0000  4 N 1.76
Cr2 0.7500 0.2500 0.5000  4 N 1.76
K1 0.5000 0.5000 0.0000  8 N 3.06-3.37
K2 0.2500 0.7500 0.5000  8 N 3.06-3.37
N1 0.9276 0.1250 0.2500  2 Cr 1.76
N2 0.8224 0.6250 0.2500  2 Cr 1.76
N3 0.3750 0.0724 0.7500  2 Cr 1.76
N4 0.8750 0.1776 0.7500  2 Cr 1.76

## Properties
Fermi-level density of states in states/eV/atom: 0.4695
Spin magnetization in μB per formula unit: 0.000
E above lowest polymorph in meV/atom: 8
Raw total energy in eV per atom: -7.317
Formation energy without anion corrections in eV per atom: -0.4743

---

[10]
Material: KCrN2
Method: DFT, PBE
State: relaxed

Unit cell a=7.6165 b=7.6165 c=7.6165 alpha=24.62 beta=24.62 gamma=24.62
Closest atoms and distances in Å follow each position.
Fractional coordinates of all 4 atoms:
Cr1 0.0000 0.0000 0.0000  2 N 1.71
K1 0.5000 0.5000 0.5000  6 N 2.73
N1 0.9226 0.9226 0.9226  1 Cr 1.71
N2 0.0774 0.0774 0.0774  1 Cr 1.71

## Properties
Fermi-level density of states in states/eV/atom: 1.6951
Spin magnetization in μB per formula unit: 1.923
E above lowest polymorph in meV/atom: 1589
Raw total energy in eV per atom: -5.736
Formation energy without anion corrections in eV per atom: 1.1068

---

[11]
Material: KCrN2
Method: DFT, PBE
State: relaxed

Unit cell a=5.7243 b=11.4771 c=15.6989 alpha=90.00 beta=90.00 gamma=90.00
Closest atoms and distances in Å follow each position.
Fractional coordinates of all 64 atoms:
K1 0.2488 0.0000 0.4333  10 N 3.03-3.37
K2 0.7488 0.5000 0.5667  10 N 3.03-3.37
K3 0.7512 0.5000 0.0667  10 N 3.03-3.37
K4 0.2512 0.0000 0.9333  10 N 3.03-3.37
K5 0.7512 0.0000 0.5667  10 N 3.03-3.37
K6 0.2512 0.5000 0.4333  10 N 3.03-3.37
K7 0.2488 0.5000 0.9333  10 N 3.03-3.37
K8 0.7488 0.0000 0.0667  10 N 3.03-3.37
K9 0.3528 0.2507 0.3079  5 N 2.92-3.13
K10 0.8528 0.2493 0.6921  5 N 2.92-3.13
K11 0.6472 0.7507 0.1922  5 N 2.92-3.13
K12 0.1472 0.7493 0.8078  5 N 2.92-3.13
K13 0.6472 0.7493 0.6921  5 N 2.92-3.13
K14 0.1472 0.7507 0.3079  5 N 2.92-3.13
K15 0.3528 0.2493 0.8078  5 N 2.92-3.13
K16 0.8528 0.2507 0.1922  5 N 2.92-3.13
Cr1 0.7480 0.0006 0.3151  4 N 1.76
Cr2 0.2480 0.4994 0.6849  4 N 1.76
Cr3 0.2520 0.5006 0.1849  4 N 1.76
Cr4 0.7520 0.9994 0.8151  4 N 1.76
Cr5 0.2520 0.9994 0.6849  4 N 1.76
Cr6 0.7520 0.5006 0.3151  4 N 1.76
Cr7 0.7480 0.4994 0.8151  4 N 1.76
Cr8 0.2480 0.0006 0.1849  4 N 1.76
Cr9 0.8141 0.2506 0.4417  4 N 1.76-1.79
Cr10 0.3141 0.2494 0.5583  4 N 1.76-1.79
Cr11 0.1859 0.7506 0.0583  4 N 1.76-1.79
Cr12 0.6859 0.7494 0.9417  4 N 1.76-1.79
Cr13 0.1859 0.7494 0.5583  4 N 1.76-1.79
Cr14 0.6859 0.7506 0.4417  4 N 1.76-1.79
Cr15 0.8141 0.2494 0.9417  4 N 1.76-1.79
Cr16 0.3141 0.2506 0.0583  4 N 1.76-1.79
N1 0.1149 0.2505 0.4722  2 Cr 1.77-1.79
N2 0.6149 0.2495 0.5278  2 Cr 1.77-1.79
N3 0.8851 0.7505 0.0278  2 Cr 1.77-1.79
N4 0.3851 0.7495 0.9722  2 Cr 1.77-1.79
N5 0.8851 0.7495 0.5278  2 Cr 1.77-1.79
N6 0.3851 0.7505 0.4722  2 Cr 1.77-1.79
N7 0.1149 0.2495 0.9722  2 Cr 1.77-1.79
N8 0.6149 0.2505 0.0278  2 Cr 1.77-1.79
N9 0.7584 0.3763 0.3807  2 Cr 1.76
N10 0.2584 0.1237 0.6193  2 Cr 1.76
N11 0.2416 0.8763 0.1193  2 Cr 1.76
N12 0.7416 0.6237 0.8807  2 Cr 1.76
N13 0.2416 0.6237 0.6193  2 Cr 1.76
N14 0.7416 0.8763 0.3807  2 Cr 1.76
N15 0.7584 0.1237 0.8807  2 Cr 1.76
N16 0.2584 0.3763 0.1193  2 Cr 1.76
N17 0.7593 0.1262 0.3793  2 Cr 1.76
N18 0.2593 0.3738 0.6207  2 Cr 1.76
N19 0.2407 0.6262 0.1208  2 Cr 1.76
N20 0.7407 0.8738 0.8792  2 Cr 1.76
N21 0.2407 0.8738 0.6207  2 Cr 1.76
N22 0.7407 0.6262 0.3793  2 Cr 1.76
N23 0.7593 0.3738 0.8792  2 Cr 1.76
N24 0.2593 0.1262 0.1208  2 Cr 1.76
N25 0.5046 0.5000 0.2487  2 Cr 1.76
N26 0.0046 0.0000 0.7513  2 Cr 1.76
N27 0.4954 0.0000 0.2513  2 Cr 1.76
N28 0.9954 0.5000 0.7487  2 Cr 1.76
N29 0.4954 0.5000 0.7513  2 Cr 1.76
N30 0.9954 0.0000 0.2487  2 Cr 1.76
N31 0.5046 0.0000 0.7487  2 Cr 1.76
N32 0.0046 0.5000 0.2513  2 Cr 1.76

## Properties
Fermi-level density of states in states/eV/atom: 0.4485
Spin magnetization in μB per formula unit: 0.000
E above lowest polymorph in meV/atom: 0
Raw total energy in eV per atom: -7.325
Formation energy without anion corrections in eV per atom: -0.4825

---

[12]
Material: K3Cr2N4
Method: DFT, PBE
State: relaxed

Unit cell a=3.4487 b=7.6258 c=7.9962 alpha=129.09 beta=90.00 gamma=103.07
Closest atoms and distances in Å follow each position.
Fractional coordinates of all 9 atoms:
K1 0.3714 0.7429 0.4866  3 N 2.75-3.06
K2 0.0000 0.0000 0.0000  6 N 2.72-2.96
K3 0.6286 0.2571 0.5134  3 N 2.75-3.06
Cr1 0.3076 0.6151 0.9882  1 N 1.64
Cr2 0.6924 0.3849 0.0118  1 N 1.64
N1 0.3142 0.6284 0.7916  1 Cr 1.64
N2 0.6858 0.3716 0.2084  1 Cr 1.64
N3 0.1456 0.2912 0.8684  3 Cr 1.93
N4 0.8544 0.7088 0.1316  3 Cr 1.93

## Properties
Fermi-level density of states in states/eV/atom: 0.3710
Spin magnetization in μB per formula unit: 0.000
Raw total energy in eV per atom: -6.568
Formation energy without anion corrections in eV per atom: -0.3632